No. 1
First-principles (PBE-GGA) data for a geometry-optimized GaGePd structure, as listed in the Open Quantum Materials Database.

Computed properties:
Polymorph energy (0 for the lowest one): 0.000 eV/f.u.

a = 4.2530 Å, b = 4.2530 Å, c = 4.2530 Å
α = 60.00°, β = 60.00°, γ = 60.00°
Atoms (fractional coordinates):
1 Ge 0.7500 0.7500 0.7500
2 Pd 0.0000 0.0000 0.0000
3 Ga 0.2500 0.2500 0.2500

---

No. 2
First-principles (PBE-GGA) data for a geometry-optimized GaGe2Pd2 structure, as listed in the Open Quantum Materials Database.

Computed properties:
Polymorph energy (0 for the lowest one): 0.000 eV/f.u.

a = 6.0782 Å, b = 6.0782 Å, c = 6.0782 Å
α = 139.78°, β = 139.78°, γ = 58.19°
Atoms (fractional coordinates):
1 Ge 0.3839 0.3839 0.0000
2 Ge 0.6161 0.6161 0.0000
3 Pd 0.2500 0.7500 0.5000
4 Pd 0.7500 0.2500 0.5000
5 Ga 0.0000 0.0000 0.0000

---

No. 3
First-principles (PBE-GGA) data for a geometry-optimized Ga6GePd2 structure, as listed in the Open Quantum Materials Database.

Computed properties:
Calculated total energy: -3.87 eV per atom

a = 7.0455 Å, b = 7.0455 Å, c = 3.6573 Å
α = 90.00°, β = 90.00°, γ = 120.00°
Atoms (fractional coordinates):
1 Ga 0.0000 0.3981 0.0000
2 Ga 0.3981 0.0000 0.0000
3 Ga 0.7233 0.0000 0.5000
4 Ga 0.2767 0.2767 0.5000
5 Ga 0.6019 0.6019 0.0000
6 Ga 0.0000 0.7233 0.5000
7 Pd 0.6667 0.3333 0.5000
8 Pd 0.3333 0.6667 0.5000
9 Ge 0.0000 0.0000 0.0000

---

No. 4
First-principles (PBE-GGA) data for a geometry-optimized PrGaGePd2 structure, as listed in the Open Quantum Materials Database.

Computed properties:
Calculated total energy: -5.40 eV per atom
Magnetic moment: 0.01 Bohr magnetons per cell

a = 4.3410 Å, b = 4.3410 Å, c = 10.3805 Å
α = 90.00°, β = 90.00°, γ = 90.00°
Atoms (fractional coordinates):
1 Ge 0.5000 0.0000 0.8698
2 Ge 0.0000 0.5000 0.1302
3 Pd 0.0000 0.0000 0.0000
4 Pd 0.5000 0.0000 0.6315
5 Pd 0.5000 0.5000 0.0000
6 Pd 0.0000 0.5000 0.3685
7 Ga 0.0000 0.0000 0.5000
8 Ga 0.5000 0.5000 0.5000
9 Pr 0.0000 0.5000 0.7483
10 Pr 0.5000 0.0000 0.2517

---

No. 5
First-principles (PBE-GGA) data for a geometry-optimized SmGaGePd2 structure, as listed in the Open Quantum Materials Database.

Computed properties:
Calculated total energy: -5.38 eV per atom
Magnetic moment: 0.02 Bohr magnetons per cell

a = 4.2846 Å, b = 4.2846 Å, c = 10.3852 Å
α = 90.00°, β = 90.00°, γ = 90.00°
Atoms (fractional coordinates):
1 Ga 0.0000 0.0000 0.5000
2 Ga 0.5000 0.5000 0.5000
3 Pd 0.0000 0.5000 0.3675
4 Pd 0.0000 0.0000 0.0000
5 Pd 0.5000 0.0000 0.6325
6 Pd 0.5000 0.5000 0.0000
7 Sm 0.0000 0.5000 0.7496
8 Sm 0.5000 0.0000 0.2504
9 Ge 0.0000 0.5000 0.1324
10 Ge 0.5000 0.0000 0.8676

---

No. 6
First-principles (PBE-GGA) data for a geometry-optimized SrGaGePd2 structure, as listed in the Open Quantum Materials Database.

Computed properties:
Calculated total energy: -4.66 eV per atom

a = 4.4273 Å, b = 4.4273 Å, c = 10.3975 Å
α = 90.00°, β = 90.00°, γ = 90.00°
Atoms (fractional coordinates):
1 Pd 0.5000 0.5000 0.0000
2 Pd 0.0000 0.0000 0.0000
3 Pd 0.0000 0.5000 0.6309
4 Pd 0.5000 0.0000 0.3691
5 Ge 0.5000 0.0000 0.1229
6 Ge 0.0000 0.5000 0.8771
7 Sr 0.5000 0.0000 0.7527
8 Sr 0.0000 0.5000 0.2473
9 Ga 0.5000 0.5000 0.5000
10 Ga 0.0000 0.0000 0.5000

---

No. 7
First-principles (PBE-GGA) data for a geometry-optimized TbTm2Ga3Ge2Pd structure, as listed in the Open Quantum Materials Database.

Computed properties:
Calculated total energy: -4.89 eV per atom
Magnetic moment: 0.00 Bohr magnetons per cell

a = 4.2142 Å, b = 6.9932 Å, c = 6.9932 Å
α = 120.44°, β = 90.00°, γ = 90.00°
Atoms (fractional coordinates):
1 Tm 0.0000 0.9985 0.4101
2 Tm 0.0000 0.4101 0.9985
3 Ge 0.5000 0.3301 0.6679
4 Ge 0.5000 0.6679 0.3301
5 Tb 0.0000 0.5869 0.5869
6 Ga 0.5000 0.7624 0.0004
7 Ga 0.5000 0.2385 0.2385
8 Ga 0.5000 0.0004 0.7624
9 Pd 0.0000 0.0052 0.0052

---

No. 8
First-principles (PBE-GGA) data for a geometry-optimized Tb2TmGa3Ge2Pd structure, as listed in the Open Quantum Materials Database.

Computed properties:
Calculated total energy: -4.92 eV per atom
Magnetic moment: 0.00 Bohr magnetons per cell

a = 4.2332 Å, b = 6.9933 Å, c = 6.9933 Å
α = 119.57°, β = 90.00°, γ = 90.00°
Atoms (fractional coordinates):
1 Ge 0.5000 0.3346 0.6632
2 Ge 0.5000 0.6632 0.3346
3 Ga 0.5000 0.7630 0.7630
4 Ga 0.5000 0.2377 0.0005
5 Ga 0.5000 0.0005 0.2377
6 Tm 0.0000 0.4100 0.4100
7 Pd 0.0000 0.0052 0.0052
8 Tb 0.0000 0.9985 0.5872
9 Tb 0.0000 0.5872 0.9985

---

No. 9
First-principles (PBE-GGA) data for a geometry-optimized Y3Ga3GePd2 structure, as listed in the Open Quantum Materials Database.

Computed properties:
Polymorph energy (0 for the lowest one): 2.799 eV/f.u.
Magnetic moment: 0.13 Bohr magnetons per cell

a = 7.6471 Å, b = 7.6471 Å, c = 3.8921 Å
α = 90.00°, β = 90.00°, γ = 120.00°
Atoms (fractional coordinates):
1 Y 0.2814 0.2814 0.5000
2 Y 0.7186 0.0000 0.5000
3 Y 0.0000 0.7186 0.5000
4 Ga 0.0000 0.4025 0.0000
5 Ga 0.5975 0.5975 0.0000
6 Ga 0.4025 0.0000 0.0000
7 Ge 0.0000 0.0000 0.0000
8 Pd 0.6667 0.3333 0.5000
9 Pd 0.3333 0.6667 0.5000

---

No. 10
First-principles (PBE-GGA) data for a geometry-optimized Y3Ga3GePd2 structure, as listed in the Open Quantum Materials Database.

Computed properties:
Polymorph energy (0 for the lowest one): 0.000 eV/f.u.
Magnetic moment: 0.01 Bohr magnetons per cell

a = 7.4626 Å, b = 7.4626 Å, c = 3.7927 Å
α = 90.00°, β = 90.00°, γ = 120.00°
Atoms (fractional coordinates):
1 Ga 0.0000 0.7293 0.0000
2 Ga 0.2707 0.2707 0.0000
3 Ga 0.7293 0.0000 0.0000
4 Y 0.0000 0.3950 0.5000
5 Y 0.3950 0.0000 0.5000
6 Y 0.6050 0.6050 0.5000
7 Pd 0.3333 0.6667 0.0000
8 Pd 0.6667 0.3333 0.0000
9 Ge 0.0000 0.0000 0.5000

---

No. 11
First-principles (PBE-GGA) data for a geometry-optimized Pm2GaGe structure, as listed in the Open Quantum Materials Database.

Computed properties:
Calculated total energy: -5.06 eV per atom
Magnetic moment: 0.68 Bohr magnetons per cell

a = 5.9994 Å, b = 4.0896 Å, c = 8.6971 Å
α = 90.00°, β = 108.08°, γ = 90.00°
Last column: magnetic moment on the atom in μB.
Atoms (fractional coordinates):
1 Pm 0.7124 0.2500 0.9309  0.07
2 Pm 0.2876 0.7500 0.0691  0.07
3 Pm 0.2074 0.2500 0.4288  0.07
4 Pm 0.7926 0.7500 0.5712  0.07
5 Ga 0.6357 0.2500 0.2879  0.00
6 Ga 0.3643 0.7500 0.7121  0.00
7 Ge 0.8622 0.7500 0.2110  -0.01
8 Ge 0.1378 0.2500 0.7890  -0.01

---

No. 12
First-principles (PBE-GGA) data for a geometry-optimized Pm4Ga3Ge structure, as listed in the Open Quantum Materials Database.

Computed properties:
Calculated total energy: -4.77 eV per atom
Magnetic moment: 0.64 Bohr magnetons per cell

a = 4.1054 Å, b = 4.4566 Å, c = 11.2122 Å
α = 90.00°, β = 90.00°, γ = 90.00°
Last column: magnetic moment on the atom in μB.
Atoms (fractional coordinates):
1 Ga 0.0000 0.5000 0.0733  0.00
2 Ga 0.0000 0.0000 0.5752  0.00
3 Ga 0.5000 0.0000 0.4272  0.00
4 Ge 0.5000 0.5000 0.9241  -0.01
5 Pm 0.0000 0.0000 0.8605  0.10
6 Pm 0.5000 0.5000 0.6406  0.09
7 Pm 0.5000 0.0000 0.1399  0.04
8 Pm 0.0000 0.5000 0.3593  0.04